First-principles (GGA-PBE) data for a geometry-optimized KGd2CuS4 structure, as listed in the Alexandria database.

Cell lengths 3.9988, 7.1287, 13.8118 Å; angles 90.00, 90.00, 106.29 degrees
Atoms (fractional coordinates):
K 0.3920 0.7839 0.7500
K 0.6080 0.2161 0.2500
Gd 0.1341 0.2683 0.9378
Gd 0.8659 0.7317 0.0622
Gd 0.1341 0.2683 0.5622
Gd 0.8659 0.7317 0.4378
S 0.7621 0.5242 0.8880
S 0.9293 0.8585 0.2500
S 0.5000 0.0000 0.5000
S 0.0707 0.1415 0.7500
S 0.7621 0.5242 0.6120
S 0.2379 0.4758 0.1120
S 0.2379 0.4758 0.3880
S 0.5000 0.0000 0.0000
Cu 0.6635 0.3269 0.7500
Cu 0.3365 0.6731 0.2500

## Properties
Uncorrected formation energy, eV per atom: -1.6706
Electronic total energy, eV per formula unit: -63.23
SG: Cmcm